Record 1
The following is a DFT calculation (PBE-GGA) of a geometry-optimized RbBeCl3 structure.

Computed properties:
E_form (uncorrected)   7.126 kcal/mol of atoms
Total DFT energy (no corrections)   -8.69 eV/cell

Cell and atoms, written as POSCAR:
```
RbBeCl3
1.0
6.0574 0.0000 0.0000
0.0000 6.0574 0.0000
0.0000 0.0000 6.0574
Cl Be Rb
3 1 1
direct
0.0000 0.0000 0.5000
0.0000 0.5000 0.0000
0.5000 0.0000 0.0000
0.5000 0.5000 0.5000
0.0000 0.0000 0.0000
```


Record 2
The following is a DFT calculation (PBE-GGA) of a geometry-optimized Rb5BeCl8 structure.

Computed properties:
E_form (uncorrected)   -36.787 kcal/mol of atoms
Total DFT energy (no corrections)   -45.67 eV/cell

Cell and atoms, written as POSCAR:
```
Rb5BeCl8
1.0
8.6426 0.0000 -2.0374
-4.7543 6.6846 -3.3999
0.8659 0.0000 8.8372
Rb Cl Be
5 8 1
direct
0.5000 0.0000 0.5000
0.3923 0.1474 0.9758
0.0242 0.4165 0.1716
0.7552 0.5835 0.6077
0.8284 0.8526 0.2448
0.5235 0.7047 0.8631
0.6824 0.1726 0.2750
0.1369 0.6605 0.8416
0.1024 0.8274 0.5098
0.7250 0.4074 0.8976
0.1812 0.3395 0.4765
0.1584 0.2953 0.8188
0.4902 0.5926 0.3176
0.2500 0.5000 0.7500
```


Record 3
The following is a DFT calculation (PBE-GGA) of a geometry-optimized Rb2BeCl4 structure.

Computed properties:
E_form (uncorrected)   -41.430 kcal/mol of atoms
Total DFT energy (no corrections)   -51.25 eV/cell

Cell and atoms, written as POSCAR:
```
Rb2BeCl4
1.0
-6.2526 1.5620 2.5131
-2.4224 -6.0633 -2.2584
4.6476 -4.4758 7.0311
Cl Rb Be
8 4 2
direct
0.8209 0.2500 0.0006
0.4908 0.9865 0.2731
0.5092 0.4865 0.7269
0.9016 0.2500 0.6649
0.5092 0.0135 0.7269
0.0984 0.7500 0.3351
0.4908 0.5135 0.2731
0.1791 0.7500 0.9994
0.7938 0.7500 0.5665
0.2062 0.2500 0.4335
0.2868 0.2500 0.9640
0.7132 0.7500 0.0360
0.6921 0.2500 0.7800
0.3079 0.7500 0.2200
```


Record 4
The following is a DFT calculation (PBE-GGA) of a geometry-optimized Rb3BeCl structure.

Computed properties:
E_form (uncorrected)   -3.829 kcal/mol of atoms
Total DFT energy (no corrections)   -9.31 eV/cell

Cell and atoms, written as POSCAR:
```
Rb3BeCl
1.0
6.3527 0.0000 0.0000
0.0000 6.3527 0.0000
0.0000 0.0000 6.3527
Rb Be Cl
3 1 1
direct
0.0000 0.0000 0.5000
0.0000 0.5000 0.0000
0.5000 0.0000 0.0000
0.5000 0.5000 0.5000
0.0000 0.0000 0.0000
```


Record 5
The following is a DFT calculation (PBE-GGA) of a geometry-optimized RbBeCl3 structure.

Computed properties:
E_form (uncorrected)   -38.977 kcal/mol of atoms
Total DFT energy (no corrections)   -37.37 eV/cell

Cell and atoms, written as POSCAR:
```
RbBeCl3
1.0
5.8106 0.0000 0.0000
0.0000 6.3845 -2.8525
0.0000 -0.2476 8.0169
Be Cl Rb
2 6 2
direct
0.2315 0.4265 0.8529
0.7315 0.5735 0.1471
0.0958 0.5591 0.1182
0.5958 0.4409 0.8818
0.1524 0.5981 0.7176
0.1524 0.1195 0.7176
0.6524 0.4019 0.2824
0.6524 0.8805 0.2824
0.6486 0.8473 0.6946
0.1486 0.1527 0.3054
```


Record 6
The following is a DFT calculation (PBE-GGA) of a geometry-optimized Rb2BeRhCl6 structure.

Computed properties:
E_form (uncorrected)   -26.293 kcal/mol of atoms
Total DFT energy (no corrections)   -35.49 eV/cell

Cell and atoms, written as POSCAR:
```
Rb2BeRhCl6
1.0
6.7219 0.0000 0.0000
0.0000 6.7219 0.0000
3.3610 3.3610 5.3492
Cl Rb Be Rh
6 2 1 1
direct
0.2700 0.7300 0.0000
0.7300 0.7300 0.0000
0.7779 0.7779 0.4441
0.7300 0.2700 0.0000
0.2700 0.2700 0.0000
0.2221 0.2221 0.5559
0.2500 0.7500 0.5000
0.7500 0.2500 0.5000
0.5000 0.5000 0.0000
0.0000 0.0000 0.0000
```


Record 7
The following is a DFT calculation (PBE-GGA) of a geometry-optimized Rb2BeRuCl6 structure.

Computed properties:
E_form (uncorrected)   -24.542 kcal/mol of atoms
Total DFT energy (no corrections)   -36.66 eV/cell

Cell and atoms, written as POSCAR:
```
Rb2BeRuCl6
1.0
6.6182 0.0000 0.0000
0.0000 6.6182 0.0000
3.3091 3.3091 5.3984
Rb Cl Be Ru
2 6 1 1
direct
0.2500 0.7500 0.5000
0.7500 0.2500 0.5000
0.2247 0.2247 0.5505
0.7753 0.7753 0.4495
0.2658 0.7342 0.0000
0.7342 0.2658 0.0000
0.7342 0.7342 0.0000
0.2658 0.2658 0.0000
0.5000 0.5000 0.0000
0.0000 0.0000 0.0000
```


Record 8
The following is a DFT calculation (PBE-GGA) of a geometry-optimized RbBeS2Cl structure.

Computed properties:
E_form (uncorrected)   -12.637 kcal/mol of atoms
Total DFT energy (no corrections)   -17.54 eV/cell

Cell and atoms, written as POSCAR:
```
RbBeS2Cl
1.0
-2.8730 2.9296 1.2152
0.2422 -1.4322 4.0253
4.7821 4.1906 1.2033
Rb Be S Cl
1 1 2 1
direct
0.5000 0.5000 0.5000
0.0000 0.0000 0.0000
0.5000 0.0000 0.0000
0.0000 0.5000 0.0000
0.0000 0.0000 0.5000
```


Record 9
The following is a DFT calculation (PBE-GGA) of a geometry-optimized RbBeS2Cl structure.

Computed properties:
E_form (uncorrected)   27.257 kcal/mol of atoms
Total DFT energy (no corrections)   -8.89 eV/cell

Cell and atoms, written as POSCAR:
```
RbBeS2Cl
1.0
-1.7704 2.7982 5.5132
0.6735 -5.6134 3.0653
5.8611 1.3553 1.1942
S Rb Be Cl
2 1 1 1
direct
0.0000 0.5000 0.0000
0.5000 0.0000 0.0000
0.0000 0.0000 0.0000
0.5000 0.5000 0.5000
0.0000 0.0000 0.5000
```


Record 10
The following is a DFT calculation (PBE-GGA) of a geometry-optimized Rb2BeSbCl structure.

Computed properties:
E_form (uncorrected)   7.043 kcal/mol of atoms
Total DFT energy (no corrections)   -10.10 eV/cell

Cell and atoms, written as POSCAR:
```
Rb2BeSbCl
1.0
7.1563 0.0000 0.0000
0.0000 5.5204 0.0000
0.0000 0.0000 7.1563
Rb Cl Sb Be
2 1 1 1
direct
0.5000 0.0000 0.0000
0.0000 0.0000 0.5000
0.0000 0.5000 0.0000
0.0000 0.0000 0.0000
0.5000 0.5000 0.5000
```


Record 11
The following is a DFT calculation (PBE-GGA) of a geometry-optimized RbBeSbCl6 structure.

Computed properties:
E_form (uncorrected)   -27.344 kcal/mol of atoms
Total DFT energy (no corrections)   -30.57 eV/cell

Cell and atoms, written as POSCAR:
```
RbBeSbCl6
1.0
6.5780 -0.0003 -0.0001
3.2887 5.6964 -0.0001
0.0001 -0.0004 7.3149
Cl Sb Rb Be
6 1 1 1
direct
0.9583 0.3919 0.3118
0.3918 0.6497 0.3118
0.9584 0.6496 0.6882
0.3918 0.9586 0.6882
0.6495 0.3918 0.6883
0.6497 0.9585 0.3118
0.3334 0.3333 0.5001
0.0000 0.0000 0.0000
0.6669 0.6666 0.4998
```


Record 12
The following is a DFT calculation (PBE-GGA) of a geometry-optimized Rb2BeSbCl6 structure.

Computed properties:
E_form (uncorrected)   -27.718 kcal/mol of atoms
Total DFT energy (no corrections)   -32.88 eV/cell

Cell and atoms, written as POSCAR:
```
Rb2BeSbCl6
1.0
-5.7619 -3.3696 -2.7292
4.3360 -4.4299 -3.6848
-0.6793 -7.3154 0.9389
Cl Be Rb Sb
6 1 2 1
direct
0.7170 0.2830 0.0000
0.2464 0.2464 0.5073
0.2830 0.2830 0.0000
0.7170 0.7170 0.0000
0.2830 0.7170 0.0000
0.7536 0.7536 0.4927
0.5000 0.5000 0.0000
0.2500 0.7500 0.5000
0.7500 0.2500 0.5000
0.0000 0.0000 0.0000
```


Record 13
The following is a DFT calculation (PBE-GGA) of a geometry-optimized RbScBe2Cl8 structure.

Computed properties:
E_form (uncorrected)   -39.773 kcal/mol of atoms
Total DFT energy (no corrections)   -50.22 eV/cell

Cell and atoms, written as POSCAR:
```
RbScBe2Cl8
1.0
6.1122 0.0000 0.0000
3.0561 5.2933 0.0000
3.0561 1.7644 9.8441
Cl Be Rb Sc
8 2 1 1
direct
0.9708 0.6078 0.1509
0.7295 0.0292 0.8491
0.1932 0.1932 0.4203
0.2705 0.9708 0.1509
0.0292 0.3922 0.8491
0.6078 0.2705 0.1509
0.3922 0.7295 0.8491
0.8068 0.8068 0.5797
0.7406 0.7406 0.7783
0.2594 0.2594 0.2217
0.5000 0.5000 0.5000
0.0000 0.0000 0.0000
```


Record 14
The following is a DFT calculation (PBE-GGA) of a geometry-optimized Rb2ScBeCl6 structure.

Computed properties:
E_form (uncorrected)   -36.926 kcal/mol of atoms
Total DFT energy (no corrections)   -39.09 eV/cell

Cell and atoms, written as POSCAR:
```
Rb2ScBeCl6
1.0
6.9198 0.0000 0.0000
0.0000 6.9198 0.0000
3.4599 3.4599 5.2019
Sc Be Cl Rb
1 1 6 2
direct
0.0000 0.0000 0.0000
0.5000 0.5000 0.0000
0.2460 0.2460 0.5080
0.7540 0.7540 0.4920
0.2723 0.7277 0.0000
0.7277 0.7277 0.0000
0.7277 0.2723 0.0000
0.2723 0.2723 0.0000
0.7500 0.2500 0.5000
0.2500 0.7500 0.5000
```


Record 15
The following is a DFT calculation (PBE-GGA) of a geometry-optimized RbScBeCl6 structure.

Computed properties:
E_form (uncorrected)   -40.508 kcal/mol of atoms
Total DFT energy (no corrections)   -37.91 eV/cell

Cell and atoms, written as POSCAR:
```
RbScBeCl6
1.0
-5.7896 -2.4550 0.3529
-1.4292 -4.0468 4.6098
-2.1365 5.6571 4.3039
Cl Rb Be Sc
6 1 1 1
direct
0.6377 0.3848 0.6831
0.3848 0.6377 0.3169
0.9774 0.6378 0.6831
0.3848 0.9775 0.6831
0.6377 0.9775 0.3169
0.9774 0.3848 0.3169
0.0000 0.0000 0.0000
0.6667 0.6667 0.5000
0.3333 0.3333 0.5000
```


Record 16
The following is a DFT calculation (PBE-GGA) of a geometry-optimized RbBe2SeCl structure.

Computed properties:
E_form (uncorrected)   -1.079 kcal/mol of atoms
Total DFT energy (no corrections)   -13.99 eV/cell

Cell and atoms, written as POSCAR:
```
RbBe2SeCl
1.0
4.4220 0.0000 0.0000
0.0000 8.7609 0.0000
0.0000 0.0000 4.4220
Se Be Rb Cl
1 2 1 1
direct
0.0000 0.0000 0.0000
0.5000 0.0000 0.0000
0.0000 0.0000 0.5000
0.5000 0.5000 0.5000
0.0000 0.5000 0.0000
```


Record 17
The following is a DFT calculation (PBE-GGA) of a geometry-optimized Rb2SrBeCl6 structure.

Computed properties:
E_form (uncorrected)   -41.999 kcal/mol of atoms
Total DFT energy (no corrections)   -36.64 eV/cell

Cell and atoms, written as POSCAR:
```
Rb2SrBeCl6
1.0
7.3072 0.0000 0.0000
0.0000 7.3072 0.0000
3.6536 3.6536 5.1740
Cl Rb Sr Be
6 2 1 1
direct
0.2756 0.2756 0.0000
0.2756 0.7244 0.0000
0.2752 0.2752 0.4495
0.7248 0.7248 0.5505
0.7244 0.7244 0.0000
0.7244 0.2756 0.0000
0.7500 0.2500 0.5000
0.2500 0.7500 0.5000
0.0000 0.0000 0.0000
0.5000 0.5000 0.0000
```


Record 18
The following is a DFT calculation (PBE-GGA) of a geometry-optimized RbSrBeCl2 structure.

Computed properties:
E_form (uncorrected)   -14.483 kcal/mol of atoms
Total DFT energy (no corrections)   -13.21 eV/cell

Cell and atoms, written as POSCAR:
```
RbSrBeCl2
1.0
-1.4803 -4.9968 -1.8384
11.9196 -2.0934 -3.9076
1.2328 -2.1780 4.9271
Cl Sr Rb Be
2 1 1 1
direct
0.0000 0.0000 0.5000
0.5000 0.0000 0.0000
0.0000 0.0000 0.0000
0.0000 0.5000 0.0000
0.5000 0.5000 0.5000
```


Record 19
The following is a DFT calculation (PBE-GGA) of a geometry-optimized Rb2BeTcCl6 structure.

Computed properties:
E_form (uncorrected)   -25.469 kcal/mol of atoms
Total DFT energy (no corrections)   -38.15 eV/cell

Cell and atoms, written as POSCAR:
```
Rb2BeTcCl6
1.0
-3.0701 6.2978 0.3643
-5.6780 -2.5822 -3.2114
-6.4464 0.5760 3.2712
Cl Tc Be Rb
6 1 1 2
direct
0.2783 0.7217 0.0000
0.7647 0.7647 0.4705
0.2783 0.2783 0.0000
0.7217 0.2783 0.0000
0.7217 0.7217 0.0000
0.2353 0.2353 0.5295
0.0000 0.0000 0.0000
0.5000 0.5000 0.0000
0.2500 0.7500 0.5000
0.7500 0.2500 0.5000
```


Record 20
The following is a DFT calculation (PBE-GGA) of a geometry-optimized Rb2TiBeCl6 structure.

Computed properties:
E_form (uncorrected)   -33.666 kcal/mol of atoms
Total DFT energy (no corrections)   -39.23 eV/cell

Cell and atoms, written as POSCAR:
```
Rb2TiBeCl6
1.0
6.8053 0.0000 0.0000
0.0000 6.8053 0.0000
3.4026 3.4026 5.2358
Cl Rb Ti Be
6 2 1 1
direct
0.7299 0.2701 0.0000
0.2701 0.2701 0.0000
0.7610 0.7610 0.4779
0.2390 0.2390 0.5221
0.7299 0.7299 0.0000
0.2701 0.7299 0.0000
0.2500 0.7500 0.5000
0.7500 0.2500 0.5000
0.0000 0.0000 0.0000
0.5000 0.5000 0.0000
```


Record 21
The following is a DFT calculation (PBE-GGA) of a geometry-optimized RbTiBe2Cl8 structure.

Computed properties:
E_form (uncorrected)   -35.349 kcal/mol of atoms
Total DFT energy (no corrections)   -49.48 eV/cell

Cell and atoms, written as POSCAR:
```
RbTiBe2Cl8
1.0
-5.8249 1.3707 -0.7763
-2.6422 -0.9692 -5.3377
-5.3547 -8.9803 0.8704
Cl Be Ti Rb
8 2 1 1
direct
0.6158 0.2696 0.1453
0.1960 0.1960 0.4121
0.2696 0.9692 0.1453
0.3842 0.7304 0.8547
0.7304 0.0308 0.8547
0.0308 0.3842 0.8547
0.8040 0.8040 0.5879
0.9692 0.6158 0.1453
0.2619 0.2619 0.2142
0.7381 0.7381 0.7858
0.0000 0.0000 0.0000
0.5000 0.5000 0.5000
```


Record 22
The following is a DFT calculation (PBE-GGA) of a geometry-optimized Rb2BeTlCl structure.

Computed properties:
E_form (uncorrected)   -4.364 kcal/mol of atoms
Total DFT energy (no corrections)   -10.82 eV/cell

Cell and atoms, written as POSCAR:
```
Rb2BeTlCl
1.0
6.9422 0.0000 0.0000
0.0000 4.5647 0.0000
0.0000 0.0000 6.9422
Tl Be Rb Cl
1 1 2 1
direct
0.0000 0.0000 0.0000
0.0000 0.5000 0.0000
0.0000 0.0000 0.5000
0.5000 0.0000 0.0000
0.5000 0.5000 0.5000
```


Record 23
The following is a DFT calculation (PBE-GGA) of a geometry-optimized RbBeTlCl6 structure.

Computed properties:
E_form (uncorrected)   -25.607 kcal/mol of atoms
Total DFT energy (no corrections)   -28.13 eV/cell

Cell and atoms, written as POSCAR:
```
RbBeTlCl6
1.0
-3.8449 2.5893 4.5281
-0.9053 -3.0804 5.6269
5.7867 3.5569 2.8813
Be Rb Cl Tl
1 1 6 1
direct
0.6670 0.6666 0.5000
0.9999 0.0000 0.0000
0.3907 0.6466 0.3122
0.9624 0.6467 0.6877
0.9625 0.3908 0.3123
0.6465 0.3909 0.6877
0.3907 0.9627 0.6877
0.6466 0.9625 0.3123
0.3333 0.3334 0.5000
```